# 1
The following is a PBE calculation of CaTmPb after structural relaxation, from Alexandria via LeMat-Bulk.

Geometry as extended XYZ:
```
3
Lattice="3.748 0.000 0.000 0.000 5.362 0.000 0.000 -2.681 4.644" Properties=species:S:1:pos:R:3 pbc="T T T"
Pb 2.819 2.681 1.548
Ca 1.350 0.000 3.096
Tm 3.326 0.000 0.000
```

Size of the total moment   0.3 μB/f.u.
ΔH_f (0 K)   -0.21 eV per atom

=====

# 2
The following is a PBE calculation of CaUPb2 after structural relaxation, from Alexandria via LeMat-Bulk.

Geometry as extended XYZ:
```
4
Lattice="-0.818 -0.313 3.197 -5.135 -2.376 -1.546 2.437 -5.334 0.102" Properties=species:S:1:pos:R:3 pbc="T T T"
Pb 1.219 -2.667 0.051
Pb -2.567 -1.188 -0.773
Ca -1.758 -4.011 0.876
U -0.409 -0.156 1.598
```

Size of the total moment   3.0 μB/f.u.
ΔH_f (0 K)   -0.02 eV per atom

=====

# 3
The following is a PBE calculation of CaVPb3 after structural relaxation, from Alexandria via LeMat-Bulk.

Geometry as extended XYZ:
```
5
Lattice="5.341 0.000 0.000 0.000 5.341 0.000 0.000 0.000 5.341" Properties=species:S:1:pos:R:3 pbc="T T T"
Pb 0.000 2.670 0.000
Pb 0.000 0.000 2.670
Pb 2.670 0.000 0.000
Ca 2.670 2.670 2.670
V 0.000 0.000 0.000
```

Size of the total moment   0.7 μB/f.u.
Energy above the lowest structure with this stoichiometry   0.000 eV per atom
ΔH_f (0 K)   0.12 eV per atom

=====

# 4
The following is a PBE calculation of CaV3Pb after structural relaxation, from Alexandria via LeMat-Bulk.

Geometry as extended XYZ:
```
5
Lattice="5.265 0.000 0.000 0.000 5.265 0.000 0.000 0.000 5.265" Properties=species:S:1:pos:R:3 pbc="T T T"
Pb 0.000 0.000 0.000
Ca 2.632 2.632 2.632
V 0.000 2.632 0.000
V 0.000 0.000 2.632
V 2.632 0.000 0.000
```

Size of the total moment   10.8 μB/f.u.
Energy above the lowest structure with this stoichiometry   0.000 eV per atom
ΔH_f (0 K)   1.32 eV per atom

=====

# 5
The following is a PBE calculation of CaV3Pb after structural relaxation, from Alexandria via LeMat-Bulk.

Geometry as extended XYZ:
```
5
Lattice="4.569 0.000 0.000 0.000 4.569 0.000 0.000 0.000 4.569" Properties=species:S:1:pos:R:3 pbc="T T T"
Pb 2.284 2.284 2.284
Ca 0.000 0.000 0.000
V 0.000 2.284 0.000
V 0.000 0.000 2.284
V 2.284 0.000 0.000
```

Size of the total moment   0.0 μB/f.u.
Energy above the lowest structure with this stoichiometry   0.698 eV per atom
ΔH_f (0 K)   2.02 eV per atom

=====

# 6
The following is a PBE calculation of CaVPb2 after structural relaxation, from Alexandria via LeMat-Bulk.

Geometry as extended XYZ:
```
8
Lattice="-3.535 -0.233 -3.549 -3.444 -1.029 3.497 -5.232 8.961 1.079" Properties=species:S:1:pos:R:3 pbc="T T T"
Pb -4.174 1.951 -1.739
Pb -3.676 1.583 2.239
Pb -6.320 6.313 0.566
Pb -10.250 5.550 0.987
Ca -3.489 -0.631 -0.026
Ca -6.082 3.651 2.275
V 0.000 0.000 0.000
V -6.128 4.048 -1.248
```

Size of the total moment   3.0 μB/f.u.
ΔH_f (0 K)   0.35 eV per atom